No. 1
VASP calculation (GGA-PBE) on SnSbPd3 after structural relaxation.

```
SnSbPd3
1.0
4.387 0.000 0.000
-2.163 3.989 0.000
-0.020 -0.496 5.592
Sn Sb Pd
1 1 3
Direct
0.000 0.000 0.000 Sn
0.312 0.618 0.492 Sb
0.328 0.653 0.981 Pd
0.623 0.247 0.719 Pd
0.695 0.381 0.239 Pd
```

Output
- density of states at the Fermi level (states/eV/f.u.) = 2.31
- space-group type = No. 1
- E above lowest polymorph (meV/atom) = 0.0
- formation energy from raw total energies (eV per formula unit) = -2.10
- magnetic moment (μB per formula unit) = 0.00
- V (A^3/atom) = 19.572
- electronic total energy (eV per atom) = -5.161

No. 2
VASP calculation (GGA-PBE) on Sn2Sb2Pd3 after structural relaxation.

```
Sn2Sb2Pd3
1.0
4.034 0.000 0.000
0.037 6.222 0.000
1.988 0.569 6.283
Sn Sb Pd
2 2 3
Direct
0.147 0.072 0.205 Sn
0.853 0.928 0.795 Sn
0.392 0.364 0.706 Sb
0.608 0.636 0.294 Sb
0.251 0.676 0.002 Pd
0.500 0.000 0.500 Pd
0.749 0.324 0.998 Pd
```

Output
- density of states at the Fermi level (states/eV/f.u.) = 3.42
- space-group type = No. 2
- E above lowest polymorph (meV/atom) = 0.0
- formation energy from raw total energies (eV per formula unit) = -2.31
- magnetic moment (μB per formula unit) = 0.00
- V (A^3/atom) = 22.529
- electronic total energy (eV per atom) = -4.877

No. 3
VASP calculation (GGA-PBE) on Sn2SbPd after structural relaxation.

```
Sn2SbPd
1.0
3.837 0.000 0.000
0.000 8.568 0.000
-1.868 0.000 5.829
Sn Sb Pd
4 2 2
Direct
0.140 0.050 0.269 Sn
0.140 0.450 0.269 Sn
0.860 0.550 0.731 Sn
0.860 0.950 0.731 Sn
0.417 0.250 0.840 Sb
0.583 0.750 0.160 Sb
0.250 0.750 0.508 Pd
0.750 0.250 0.492 Pd
```

Output
- density of states at the Fermi level (states/eV/f.u.) = 1.37
- space-group type = No. 11
- formation energy from raw total energies (eV per formula unit) = -0.74
- magnetic moment (μB per formula unit) = 0.00
- V (A^3/atom) = 23.958
- electronic total energy (eV per atom) = -4.516

No. 4
VASP calculation (GGA-PBE) on Sn2SbPd after structural relaxation.

```
Sn2SbPd
1.0
2.157 1.246 6.359
-2.157 1.246 6.359
0.000 -2.491 6.359
Sn Sb Pd
2 1 1
Direct
0.000 0.000 0.000 Sn
0.202 0.202 0.202 Sn
0.444 0.444 0.444 Sb
0.597 0.597 0.597 Pd
```

Output
- density of states at the Fermi level (states/eV/f.u.) = 2.33
- space-group type = No. 160
- formation energy from raw total energies (eV per formula unit) = -0.58
- magnetic moment (μB per formula unit) = 0.00
- V (A^3/atom) = 25.631
- electronic total energy (eV per atom) = -4.474

No. 5
VASP calculation (GGA-PBE) on Sn2Sb2Pd5 after structural relaxation.

```
Sn2Sb2Pd5
1.0
6.552 -2.062 0.000
6.552 2.062 0.000
-4.741 0.000 7.132
Sn Sb Pd
2 2 5
Direct
0.153 0.153 0.020 Sn
0.847 0.847 0.980 Sn
0.349 0.349 0.484 Sb
0.651 0.651 0.516 Sb
0.094 0.094 0.288 Pd
0.404 0.404 0.225 Pd
0.500 0.500 0.000 Pd
0.596 0.596 0.775 Pd
0.906 0.906 0.712 Pd
```

Output
- density of states at the Fermi level (states/eV/f.u.) = 3.79
- space-group type = No. 12
- formation energy from raw total energies (eV per formula unit) = -3.45
- magnetic moment (μB per formula unit) = 0.00
- V (A^3/atom) = 21.416
- electronic total energy (eV per atom) = -5.073

No. 6
VASP calculation (GGA-PBE) on Sn2Sb2Pd after structural relaxation.

```
Sn2Sb2Pd
1.0
7.108 0.000 0.000
0.000 7.108 0.000
0.000 0.000 5.249
Sn Sb Pd
4 4 2
Direct
0.158 0.342 0.000 Sn
0.342 0.842 0.000 Sn
0.658 0.158 0.000 Sn
0.842 0.658 0.000 Sn
0.146 0.646 0.500 Sb
0.354 0.146 0.500 Sb
0.646 0.854 0.500 Sb
0.854 0.354 0.500 Sb
0.000 0.000 0.000 Pd
0.500 0.500 0.000 Pd
```

Output
- density of states at the Fermi level (states/eV/f.u.) = 2.71
- space-group type = No. 127
- E above lowest polymorph (meV/atom) = 189.0
- formation energy from raw total energies (eV per formula unit) = 0.43
- magnetic moment (μB per formula unit) = 0.00
- V (A^3/atom) = 26.522
- electronic total energy (eV per atom) = -4.203

No. 7
VASP calculation (GGA-PBE) on Sn4SbPd15 after structural relaxation.

```
Sn4SbPd15
1.0
4.043 0.000 0.000
0.000 4.043 0.000
0.000 0.000 20.213
Sn Sb Pd
4 1 15
Direct
0.000 0.000 0.099 Sn
0.000 0.000 0.298 Sn
0.000 0.000 0.702 Sn
0.000 0.000 0.901 Sn
0.000 0.000 0.500 Sb
0.000 0.500 0.000 Pd
0.000 0.500 0.200 Pd
0.000 0.500 0.400 Pd
0.000 0.500 0.600 Pd
0.000 0.500 0.800 Pd
0.500 0.000 0.000 Pd
0.500 0.000 0.200 Pd
0.500 0.000 0.400 Pd
0.500 0.000 0.600 Pd
0.500 0.000 0.800 Pd
0.500 0.500 0.100 Pd
0.500 0.500 0.301 Pd
0.500 0.500 0.500 Pd
0.500 0.500 0.699 Pd
0.500 0.500 0.900 Pd
```

Output
- density of states at the Fermi level (states/eV/f.u.) = 2.07
- space-group type = No. 123
- formation energy from raw total energies (eV per formula unit) = -9.74
- magnetic moment (μB per formula unit) = 0.00
- V (A^3/atom) = 16.517
- electronic total energy (eV per atom) = -5.388

No. 8
VASP calculation (GGA-PBE) on SnSbPd4 after structural relaxation.

```
SnSbPd4
1.0
7.488 0.000 0.000
0.000 3.258 0.000
0.000 0.000 17.316
Sn Sb Pd
4 4 16
Direct
0.242 0.250 0.190 Sn
0.258 0.750 0.690 Sn
0.742 0.250 0.310 Sn
0.758 0.750 0.810 Sn
0.249 0.750 0.439 Sb
0.251 0.250 0.939 Sb
0.749 0.750 0.061 Sb
0.751 0.250 0.561 Sb
0.050 0.750 0.566 Pd
0.058 0.750 0.297 Pd
0.109 0.750 0.830 Pd
0.113 0.750 0.060 Pd
0.387 0.250 0.560 Pd
0.391 0.250 0.330 Pd
0.442 0.250 0.797 Pd
0.450 0.250 0.066 Pd
0.550 0.750 0.934 Pd
0.558 0.750 0.203 Pd
0.609 0.750 0.670 Pd
0.613 0.750 0.440 Pd
0.887 0.250 0.940 Pd
0.891 0.250 0.170 Pd
0.942 0.250 0.703 Pd
0.950 0.250 0.434 Pd
```

Output
- density of states at the Fermi level (states/eV/f.u.) = 1.69
- space-group type = No. 62
- E above lowest polymorph (meV/atom) = 0.0
- formation energy from raw total energies (eV per formula unit) = -2.91
- magnetic moment (μB per formula unit) = 0.00
- V (A^3/atom) = 17.599
- electronic total energy (eV per atom) = -5.302

No. 9
VASP calculation (GGA-PBE) on SnSb3Pd after structural relaxation.

```
SnSb3Pd
1.0
4.773 0.000 0.000
0.486 5.502 0.000
1.572 2.247 10.444
Sn Sb Pd
2 6 2
Direct
0.195 0.425 0.184 Sn
0.805 0.575 0.816 Sn
0.218 0.690 0.465 Sb
0.228 0.951 0.683 Sb
0.241 0.168 0.964 Sb
0.759 0.832 0.036 Sb
0.772 0.049 0.317 Sb
0.782 0.310 0.535 Sb
0.374 0.423 0.720 Pd
0.626 0.577 0.280 Pd
```

Output
- density of states at the Fermi level (states/eV/f.u.) = 1.92
- space-group type = No. 2
- E above lowest polymorph (meV/atom) = 0.0
- formation energy from raw total energies (eV per formula unit) = -0.39
- magnetic moment (μB per formula unit) = 0.00
- V (A^3/atom) = 27.423
- electronic total energy (eV per atom) = -4.390

No. 10
VASP calculation (GGA-PBE) on SnSb3Pd after structural relaxation.

```
SnSb3Pd
1.0
5.275 0.000 0.000
0.000 5.275 0.000
0.000 0.000 5.275
Sn Sb Pd
1 3 1
Direct
0.000 0.000 0.000 Sn
0.000 0.500 0.500 Sb
0.500 0.000 0.500 Sb
0.500 0.500 0.000 Sb
0.500 0.500 0.500 Pd
```

Output
- density of states at the Fermi level (states/eV/f.u.) = 3.93
- space-group type = No. 221
- E above lowest polymorph (meV/atom) = 380.5
- formation energy from raw total energies (eV per formula unit) = 1.52
- magnetic moment (μB per formula unit) = 0.00
- V (A^3/atom) = 29.349
- electronic total energy (eV per atom) = -4.009

No. 11
VASP calculation (GGA-PBE) on Sn3SbPd3 after structural relaxation.

```
Sn3SbPd3
1.0
4.303 -5.687 0.000
4.303 5.687 0.000
-0.182 0.000 6.273
Sn Sb Pd
6 2 6
Direct
0.207 0.793 0.000 Sn
0.228 0.772 0.500 Sn
0.306 0.306 0.014 Sn
0.694 0.694 0.986 Sn
0.772 0.228 0.500 Sn
0.793 0.207 0.000 Sn
0.274 0.274 0.494 Sb
0.726 0.726 0.506 Sb
0.020 0.020 0.752 Pd
0.066 0.460 0.757 Pd
0.460 0.066 0.757 Pd
0.540 0.934 0.243 Pd
0.934 0.540 0.243 Pd
0.980 0.980 0.248 Pd
```

Output
- density of states at the Fermi level (states/eV/f.u.) = 2.43
- space-group type = No. 12
- E above lowest polymorph (meV/atom) = 0.0
- formation energy from raw total energies (eV per formula unit) = -2.31
- magnetic moment (μB per formula unit) = 0.00
- V (A^3/atom) = 21.930
- electronic total energy (eV per atom) = -4.859